Record 1
Below is crystalline Ce4PmEr at its relaxed geometry, with properties calculated at the PBE-GGA level.

Unit cell a=8.955 b=8.955 c=8.955 alpha=90.00 beta=90.00 gamma=90.00
Space group F-43m (No. 216)
Symmetry-distinct sites (fractional):
Ce (0.121, 0.121, 0.121) [16 per cell]
Pm (0.000, 0.000, 0.500) [4 per cell]
Er (0.250, 0.250, 0.750) [4 per cell]

Energy of formation from the pure elements: 205 meV/atom
Calculated total energy: -5.303 eV/atom

=====

Record 2
Below is crystalline CePm3Er6 at its relaxed geometry, with properties calculated at the PBE-GGA level.

Unit cell a=5.781 b=8.082 c=8.189 alpha=74.73 beta=69.44 gamma=69.11
Space group P-1 (No. 2)
Symmetry-distinct sites (fractional):
Ce (0.000, 0.000, 0.000) [1 per cell]
Pm (0.246, 0.681, 0.826) [2 per cell]
Pm (0.500, 0.500, 0.500) [1 per cell]
Er (0.076, 0.580, 0.270) [2 per cell]
Er (0.259, 0.086, 0.396) [2 per cell]
Er (0.420, 0.232, 0.927) [2 per cell]

Energy of formation from the pure elements: 279 meV/atom
Calculated total energy: -4.477 eV/atom
ΔE to the lowest computed polymorph: 1.278 eV/f.u.

=====

Record 3
Below is crystalline CePm4Er at its relaxed geometry, with properties calculated at the PBE-GGA level.

Unit cell a=6.699 b=11.731 c=10.230 alpha=90.00 beta=90.00 gamma=90.00
Space group Imma (No. 74)
Symmetry-distinct sites (fractional):
Ce (0.000, 0.000, 0.000) [4 per cell]
Pm (0.000, 0.005, 0.334) [8 per cell]
Pm (0.250, 0.250, 0.578) [8 per cell]
Er (0.250, 0.250, 0.250) [4 per cell]

Energy of formation from the pure elements: 259 meV/atom
Calculated total energy: -4.657 eV/atom
ΔE to the lowest computed polymorph: 1.193 eV/f.u.

=====

Record 4
Below is crystalline CePm4Er at its relaxed geometry, with properties calculated at the PBE-GGA level.

Unit cell a=6.244 b=10.835 c=6.237 alpha=90.00 beta=109.43 gamma=90.00
Space group C2/m (No. 12)
Symmetry-distinct sites (fractional):
Ce (0.000, 0.000, 0.000) [2 per cell]
Pm (0.000, 0.164, 0.500) [4 per cell]
Pm (0.000, 0.335, 0.000) [4 per cell]
Er (0.000, 0.500, 0.500) [2 per cell]

Energy of formation from the pure elements: 60 meV/atom
Calculated total energy: -4.856 eV/atom
ΔE to the lowest computed polymorph: 0.000 eV/f.u.